Here is crystalline PuTi2Cd at its relaxed geometry from the Alexandria database. Energies are from GGA-PBE.

total magnetic moment = 5.5 μB/f.u.
energy of formation = 0.091 eV per atom

```
data_PuTi2Cd
_chemical_formula_sum 'Pu1 Ti2 Cd1'
_cell_length_a 4.936
_cell_length_b 4.936
_cell_length_c 3.148
_cell_angle_alpha 90.00
_cell_angle_beta 90.00
_cell_angle_gamma 90.00
_symmetry_space_group_name_H-M 'P 4/m m m'
_symmetry_Int_Tables_number 123
_symmetry_space_group_name_Hall '-P 4 2'
loop_
_atom_site_label
_atom_site_type_symbol
_atom_site_fract_x
_atom_site_fract_y
_atom_site_fract_z
Pu1 Pu 0.000 0.000 0.000
Ti1 Ti 0.000 0.500 0.500
Cd1 Cd 0.500 0.500 0.000
```